1.
PuSb2Pd6, optimized geometry, DFT GGA-PBE; formation energy without anion corrections = -369 meV per atom; E_tot = -57.052 eV/cell; calculated volume = 173.49 Å³/cell; magnetic moment = 0.57 μB/atom; SG = No. 12
1.0
5.3492 -3.9106 0.0000
5.3492 3.9106 0.0000
-1.9580 0.0000 4.1467
Pu Sb Pd
1 2 6
Cartesian
0.0000 0.0000 0.0000
2.8721 0.0000 1.3613
5.8683 0.0000 2.7854
1.8329 1.4883 3.4064
4.3702 2.1289 2.0733
6.9075 1.4883 0.7403
1.8329 -1.4883 3.4064
4.3702 -2.1289 2.0733
6.9075 -1.4883 0.7403

=====

2.
PuSbPd6, optimized geometry, DFT GGA-PBE; formation energy without anion corrections = -150 meV per atom; E_tot = -50.814 eV/cell; calculated volume = 177.35 Å³/cell; magnetic moment = 0.61 μB/atom; SG = No. 166
1.0
2.7375 1.5805 6.8316
-2.7375 1.5805 6.8316
0.0000 -3.1610 6.8316
Pu Sb Pd
1 1 6
Cartesian
0.0000 0.0000 0.0000
0.0000 0.0000 10.2474
-1.3966 -0.8063 8.1882
0.0000 -1.6127 12.3066
-1.3966 0.8063 12.3066
1.3966 -0.8063 8.1882
0.0000 1.6127 8.1882
1.3966 0.8063 12.3066